A relaxed SrHO2F crystal, computed with PBE-GGA. Values from VASP.

Output
Electronic total energy ... -4.553 eV per atom
Symmetry ... P4/mmm, No. 123
Crystal system ... tetragonal

```
&SYSTEM
  ibrav = 0, nat = 5, ntyp = 4
/
ATOMIC_SPECIES
Sr 87.62 Sr.upf
H 1.01 H.upf
O 16.00 O.upf
F 19.00 F.upf
ATOMIC_POSITIONS crystal
Sr 0.0000 0.0000 0.0000
H 0.5000 0.5000 0.5000
O 0.0000 0.5000 0.5000
O 0.5000 0.0000 0.5000
F 0.5000 0.5000 0.0000
CELL_PARAMETERS angstrom
3.3632 0.0000 0.0000
0.0000 3.3632 0.0000
0.0000 0.0000 4.5947
```

***

A relaxed SrHO2F crystal, computed with PBE-GGA. Values from VASP.

Output
Electronic total energy ... -3.810 eV per atom
Symmetry ... P4/mmm, No. 123
Crystal system ... tetragonal

```
&SYSTEM
  ibrav = 0, nat = 5, ntyp = 4
/
ATOMIC_SPECIES
Sr 87.62 Sr.upf
H 1.01 H.upf
O 16.00 O.upf
F 19.00 F.upf
ATOMIC_POSITIONS crystal
Sr 0.0000 0.0000 0.0000
H 0.5000 0.5000 0.5000
O 0.0000 0.5000 0.0000
O 0.5000 0.0000 0.0000
F 0.0000 0.0000 0.5000
CELL_PARAMETERS angstrom
5.1704 0.0000 0.0000
0.0000 5.1704 0.0000
0.0000 0.0000 4.6701
```

***

A relaxed SrHOF2 crystal, computed with PBE-GGA. Values from VASP.

Output
Electronic total energy ... -3.896 eV per atom
Symmetry ... P4/mmm, No. 123
Energy above the most stable polymorph in this dataset ... 3.11 eV per formula unit
Crystal system ... tetragonal

```
&SYSTEM
  ibrav = 0, nat = 5, ntyp = 4
/
ATOMIC_SPECIES
Sr 87.62 Sr.upf
H 1.01 H.upf
O 16.00 O.upf
F 19.00 F.upf
ATOMIC_POSITIONS crystal
Sr 0.0000 0.0000 0.0000
H 0.5000 0.5000 0.5000
O 0.0000 0.0000 0.5000
F 0.0000 0.5000 0.0000
F 0.5000 0.0000 0.0000
CELL_PARAMETERS angstrom
4.7079 0.0000 0.0000
0.0000 4.7079 0.0000
0.0000 0.0000 5.4347
```

***

A relaxed SrHOF2 crystal, computed with PBE-GGA. Values from VASP.

Output
Electronic total energy ... -4.094 eV per atom
Symmetry ... P4/mmm, No. 123
Energy above the most stable polymorph in this dataset ... 2.11 eV per formula unit
Crystal system ... tetragonal

```
&SYSTEM
  ibrav = 0, nat = 5, ntyp = 4
/
ATOMIC_SPECIES
Sr 87.62 Sr.upf
H 1.01 H.upf
O 16.00 O.upf
F 19.00 F.upf
ATOMIC_POSITIONS crystal
Sr 0.0000 0.0000 0.0000
H 0.0000 0.0000 0.5000
O 0.5000 0.5000 0.0000
F 0.0000 0.5000 0.5000
F 0.5000 0.0000 0.5000
CELL_PARAMETERS angstrom
3.5184 0.0000 0.0000
0.0000 3.5184 0.0000
0.0000 0.0000 4.7985
```

***

A relaxed SrHOF2 crystal, computed with PBE-GGA. Values from VASP.

Output
Electronic total energy ... -4.517 eV per atom
Symmetry ... P4/mmm, No. 123
Energy above the most stable polymorph in this dataset ... 0.00 eV per formula unit
Crystal system ... tetragonal

```
&SYSTEM
  ibrav = 0, nat = 5, ntyp = 4
/
ATOMIC_SPECIES
Sr 87.62 Sr.upf
H 1.01 H.upf
O 16.00 O.upf
F 19.00 F.upf
ATOMIC_POSITIONS crystal
Sr 0.0000 0.0000 0.0000
H 0.5000 0.5000 0.5000
O 0.5000 0.5000 0.0000
F 0.0000 0.5000 0.5000
F 0.5000 0.0000 0.5000
CELL_PARAMETERS angstrom
4.1711 0.0000 0.0000
0.0000 4.1711 0.0000
0.0000 0.0000 3.0156
```

***

A relaxed SrTiH4O2F6 crystal, computed with PBE-GGA. Values from VASP.

Output
Electronic total energy ... -5.691 eV per atom
Symmetry ... P2_1/c, No. 14
Crystal system ... monoclinic

```
&SYSTEM
  ibrav = 0, nat = 56, ntyp = 5
/
ATOMIC_SPECIES
Sr 87.62 Sr.upf
Ti 47.87 Ti.upf
H 1.01 H.upf
O 16.00 O.upf
F 19.00 F.upf
ATOMIC_POSITIONS crystal
Sr 0.2272 0.1810 0.0495
Sr 0.2272 0.3190 0.5495
Sr 0.7728 0.6810 0.4505
Sr 0.7728 0.8190 0.9505
Ti 0.1284 0.5342 0.2310
Ti 0.1284 0.9658 0.7310
Ti 0.8716 0.0342 0.2690
Ti 0.8716 0.4658 0.7690
H 0.2261 0.6034 0.6718
H 0.2261 0.8966 0.1718
H 0.3086 0.6542 0.5678
H 0.3086 0.8458 0.0678
H 0.3202 0.6546 0.9399
H 0.3202 0.8454 0.4399
H 0.4743 0.6403 0.0756
H 0.4743 0.8597 0.5756
H 0.5257 0.1403 0.4244
H 0.5257 0.3597 0.9244
H 0.6798 0.1546 0.5601
H 0.6798 0.3454 0.0601
H 0.6914 0.1542 0.9322
H 0.6914 0.3458 0.4322
H 0.7739 0.1034 0.8282
H 0.7739 0.3966 0.3282
O 0.2056 0.5879 0.5877
O 0.2056 0.9121 0.0877
O 0.4338 0.7033 0.0086
O 0.4338 0.7967 0.5086
O 0.5662 0.2033 0.4914
O 0.5662 0.2967 0.9914
O 0.7944 0.0879 0.9123
O 0.7944 0.4121 0.4123
F 0.0014 0.1508 0.1829
F 0.0014 0.3492 0.6829
F 0.0035 0.1414 0.4057
F 0.0035 0.3586 0.9057
F 0.1541 0.5686 0.8117
F 0.1541 0.9314 0.3117
F 0.2574 0.0903 0.6526
F 0.2574 0.4097 0.1526
F 0.2647 0.0654 0.8745
F 0.2647 0.4346 0.3745
F 0.4069 0.6417 0.2727
F 0.4069 0.8583 0.7727
F 0.5931 0.1417 0.2273
F 0.5931 0.3583 0.7273
F 0.7353 0.5654 0.6255
F 0.7353 0.9346 0.1255
F 0.7426 0.5903 0.8474
F 0.7426 0.9097 0.3474
F 0.8459 0.0686 0.6883
F 0.8459 0.4314 0.1883
F 0.9965 0.6414 0.0943
F 0.9965 0.8586 0.5943
F 0.9986 0.6508 0.3171
F 0.9986 0.8492 0.8171
CELL_PARAMETERS angstrom
6.1025 0.0000 0.0000
0.0000 9.8391 0.0000
-4.2728 0.0000 11.2197
```

***

A relaxed TaHOF2 crystal, computed with PBE-GGA. Values from VASP.

Output
Electronic total energy ... -6.536 eV per atom
Symmetry ... P4/mmm, No. 123
Energy above the most stable polymorph in this dataset ... 0.00 eV per formula unit
Crystal system ... tetragonal

```
&SYSTEM
  ibrav = 0, nat = 5, ntyp = 4
/
ATOMIC_SPECIES
Ta 180.95 Ta.upf
H 1.01 H.upf
O 16.00 O.upf
F 19.00 F.upf
ATOMIC_POSITIONS crystal
Ta 0.0000 0.0000 0.0000
H 0.5000 0.5000 0.5000
O 0.0000 0.0000 0.5000
F 0.0000 0.5000 0.0000
F 0.5000 0.0000 0.0000
CELL_PARAMETERS angstrom
4.1033 0.0000 0.0000
0.0000 4.1033 0.0000
0.0000 0.0000 3.8678
```

***

A relaxed TaHOF2 crystal, computed with PBE-GGA. Values from VASP.

Output
Electronic total energy ... -5.750 eV per atom
Symmetry ... P4/mmm, No. 123
Energy above the most stable polymorph in this dataset ... 3.93 eV per formula unit
Crystal system ... tetragonal

```
&SYSTEM
  ibrav = 0, nat = 5, ntyp = 4
/
ATOMIC_SPECIES
Ta 180.95 Ta.upf
H 1.01 H.upf
O 16.00 O.upf
F 19.00 F.upf
ATOMIC_POSITIONS crystal
Ta 0.0000 0.0000 0.0000
H 0.5000 0.5000 0.5000
O 0.5000 0.5000 0.0000
F 0.0000 0.5000 0.5000
F 0.5000 0.0000 0.5000
CELL_PARAMETERS angstrom
3.0836 0.0000 0.0000
0.0000 3.0836 0.0000
0.0000 0.0000 4.5208
```

***

Q: electronic total energy of number 2 (SrHO2F)?
A: -3.810 eV per atom